No. 1
Entry from Alexandria: an optimized crystal structure of MoIrW (GGA-PBE).

Output
The value obtained for the formation energy is 0.00 eV per atom. For the density of states at the Fermi level, the calculation gives 2.974 states/eV/f.u. The volume is 47 Å³/cell. For the energy above the most stable polymorph in this dataset, the calculation gives 119 meV per atom. For the total magnetization, the calculation gives 0.000 μB/f.u.

Lattice parameters (Å, degrees): 4.908 4.908 4.908 147.42 132.39 58.88
Atoms (fractional coordinates):
Mo1 0.000 0.000 0.000
Ir1 0.335 0.335 0.000
W1 0.672 0.672 0.000

---

No. 2
Entry from Alexandria: an optimized crystal structure of Cr2TePtAu (GGA-PBE).

Output
For the density of states at the Fermi level, the calculation gives 1.651 states/eV/f.u. The volume is 129 Å³/cell. Its raw formation energy is 1171 meV per atom. For the total magnetization, the calculation gives 8.666 μB/f.u.

Lattice parameters (Å, degrees): 5.043 5.043 5.079 90.00 90.00 90.00
Atoms (fractional coordinates):
Cr1 0.000 0.500 0.000
Cr2 0.500 0.000 0.000
Te1 0.000 0.000 0.000
Pt1 0.500 0.500 0.500
Au1 0.000 0.000 0.500

---

No. 3
Entry from Alexandria: an optimized crystal structure of Sr4Nb (GGA-PBE).

Output
The value obtained for the formation energy is 0.69 eV per atom. For the density of states at the Fermi level, the calculation gives 4.147 states/eV/f.u. The volume is 229 Å³/cell. For the total magnetization, the calculation gives 0.002 μB/f.u.

Lattice parameters (Å, degrees): 6.120 6.120 6.120 90.00 90.00 90.00
Atoms (fractional coordinates):
Sr1 0.000 0.000 0.000
Sr2 0.000 0.500 0.500
Sr3 0.500 0.000 0.500
Sr4 0.500 0.500 0.000
Nb1 0.500 0.500 0.500

---

No. 4
Entry from Alexandria: an optimized crystal structure of PbW2S (GGA-PBE).

Output
For the density of states at the Fermi level, the calculation gives 2.969 states/eV/f.u. The volume is 68 Å³/cell. Its raw formation energy is 1087 meV per atom. For the total magnetization, the calculation gives 0.000 μB/f.u.

Lattice parameters (Å, degrees): 4.590 4.590 4.590 60.00 60.00 60.00
Atoms (fractional coordinates):
Pb1 0.000 0.000 0.000
W1 0.250 0.250 0.250
W2 0.750 0.750 0.750
S1 0.500 0.500 0.500

---

No. 5
Entry from Alexandria: an optimized crystal structure of InCuTc2 (GGA-PBE).

Output
The value obtained for the formation energy is 0.11 eV per atom. For the density of states at the Fermi level, the calculation gives 1.677 states/eV/f.u. The volume is 63 Å³/cell. For the total magnetization, the calculation gives 0.000 μB/f.u.

Lattice parameters (Å, degrees): 3.010 3.013 6.936 90.00 90.08 90.00
Atoms (fractional coordinates):
In1 0.000 0.000 0.000
Cu1 0.499 0.500 0.255
Tc1 0.000 0.000 0.497
Tc2 0.500 0.500 0.704

---

No. 6
Entry from Alexandria: an optimized crystal structure of SmHo8Mg2 (GGA-PBE).

Output
The value obtained for the formation energy is 0.15 eV per atom. For the density of states at the Fermi level, the calculation gives 13.650 states/eV/f.u. The volume is 341 Å³/cell. For the total magnetization, the calculation gives 0.001 μB/f.u.

Lattice parameters (Å, degrees): 8.839 8.839 5.634 102.18 102.18 121.08
Atoms (fractional coordinates):
Sm1 0.000 0.000 0.000
Ho1 0.097 0.321 0.631
Ho2 0.214 0.786 0.000
Ho3 0.321 0.097 0.631
Ho4 0.407 0.407 0.203
Ho5 0.593 0.593 0.797
Ho6 0.679 0.903 0.369
Ho7 0.786 0.214 0.000
Ho8 0.903 0.679 0.369
Mg1 0.307 0.693 0.500
Mg2 0.693 0.307 0.500

---

No. 7
Entry from Alexandria: an optimized crystal structure of AcZn2Cu2 (GGA-PBE).

Output
The value obtained for the formation energy is -0.20 eV per atom. For the density of states at the Fermi level, the calculation gives 2.777 states/eV/f.u. The volume is 201 Å³/cell. For the energy above the most stable polymorph in this dataset, the calculation gives 9 meV per atom. For the total magnetization, the calculation gives 0.000 μB/f.u.

Lattice parameters (Å, degrees): 5.568 6.215 7.103 74.98 67.01 63.47
Atoms (fractional coordinates):
Ac1 0.120 0.249 0.249
Ac2 0.880 0.751 0.751
Zn1 0.161 0.136 0.777
Zn2 0.428 0.634 0.278
Zn3 0.572 0.366 0.722
Zn4 0.839 0.864 0.223
Cu1 0.304 0.702 0.958
Cu2 0.462 0.800 0.543
Cu3 0.538 0.200 0.457
Cu4 0.696 0.298 0.042

---

No. 8
Entry from Alexandria: an optimized crystal structure of Pm2Y3ErS6 (GGA-PBE).

Output
For the density of states at the Fermi level, the calculation gives 5.244 states/eV/f.u. The volume is 261 Å³/cell. Its raw formation energy is -2001 meV per atom. For the total magnetization, the calculation gives 0.000 μB/f.u.

Lattice parameters (Å, degrees): 8.817 8.817 7.938 103.03 103.03 25.79
Atoms (fractional coordinates):
Pm1 0.168 0.168 0.336
Pm2 0.832 0.832 0.664
Y1 0.169 0.169 0.833
Y2 0.500 0.500 0.500
Y3 0.831 0.831 0.167
Er1 0.500 0.500 0.000
S1 0.003 0.003 0.756
S2 0.336 0.336 0.410
S3 0.336 0.336 0.925
S4 0.664 0.664 0.075
S5 0.664 0.664 0.590
S6 0.997 0.997 0.244

---

No. 9
Entry from Alexandria: an optimized crystal structure of MoOsSCl2 (GGA-PBE).

Output
For the density of states at the Fermi level, the calculation gives 4.220 states/eV/f.u. The volume is 111 Å³/cell. Its raw formation energy is 1807 meV per atom. For the energy above the most stable polymorph in this dataset, the calculation gives 898 meV per atom. For the total magnetization, the calculation gives 6.292 μB/f.u.

Lattice parameters (Å, degrees): 4.831 4.831 4.759 90.00 90.00 90.00
Atoms (fractional coordinates):
Mo1 0.000 0.000 0.000
Os1 0.500 0.500 0.000
S1 0.000 0.000 0.500
Cl1 0.000 0.500 0.500
Cl2 0.500 0.000 0.500

---

No. 10
Entry from Alexandria: an optimized crystal structure of ZrAgF2 (GGA-PBE).

Output
For the density of states at the Fermi level, the calculation gives 2.581 states/eV/f.u. The volume is 57 Å³/cell. Its raw formation energy is -1184 meV per atom. For the energy above the most stable polymorph in this dataset, the calculation gives 675 meV per atom. For the total magnetization, the calculation gives 0.003 μB/f.u.

Lattice parameters (Å, degrees): 4.332 4.332 4.332 60.00 60.00 60.00
Atoms (fractional coordinates):
Zr1 0.000 0.000 0.000
Ag1 0.500 0.500 0.500
F1 0.250 0.250 0.250
F2 0.750 0.750 0.750

---

No. 11
Entry from Alexandria: an optimized crystal structure of VGeMo (GGA-PBE).

Output
The value obtained for the formation energy is 0.09 eV per atom. For the density of states at the Fermi level, the calculation gives 2.644 states/eV/f.u. The volume is 93 Å³/cell. For the total magnetization, the calculation gives 0.000 μB/f.u.

Lattice parameters (Å, degrees): 3.099 4.947 6.414 86.40 89.83 71.82
Atoms (fractional coordinates):
V1 0.146 0.208 0.471
V2 0.854 0.792 0.529
Ge1 0.147 0.203 0.084
Ge2 0.853 0.797 0.916
Mo1 0.433 0.632 0.249
Mo2 0.567 0.368 0.751

---

No. 12
Entry from Alexandria: an optimized crystal structure of Sr2UAs3Pd4 (GGA-PBE).

Output
The value obtained for the formation energy is -0.68 eV per atom. For the density of states at the Fermi level, the calculation gives 10.323 states/eV/f.u. The volume is 217 Å³/cell. For the total magnetization, the calculation gives 2.892 μB/f.u.

Lattice parameters (Å, degrees): 4.319 4.319 11.643 90.00 90.00 90.00
Atoms (fractional coordinates):
Sr1 0.000 0.500 0.220
Sr2 0.500 0.000 0.780
U1 0.000 0.000 0.500
As1 0.000 0.500 0.876
As2 0.500 0.000 0.124
As3 0.500 0.500 0.500
Pd1 0.000 0.000 0.000
Pd2 0.000 0.500 0.659
Pd3 0.500 0.000 0.341
Pd4 0.500 0.500 0.000

---

Q: Among the records above, which one has the lowest volume?
A: MoIrW